Record 1
Material: Pm5NdY5
Method: DFT, PBE
State: relaxed

a b c (Å): 6.1960 6.1960 11.5061
angles (deg): 90.00 90.00 120.00
Fractional coordinates of all 11 atoms:
Pm  0.0000  0.0000  0.2355
Pm  0.0000  0.0000  0.7645
Pm  0.3409  0.1705  0.0000
Pm  0.8295  0.1705  0.0000
Pm  0.8295  0.6591  0.0000
Nd  0.3333  0.6667  0.5000
Y  0.0000  0.0000  0.5000
Y  0.3333  0.6667  0.1734
Y  0.3333  0.6667  0.8266
Y  0.6667  0.3333  0.3380
Y  0.6667  0.3333  0.6620

Properties
Symmetry: P-6m2, No. 187
Formation energy: 300 meV/atom
ΔE to the lowest computed polymorph: 0 kJ/mol of formula units
Uncorrected energy: -57.54 eV/cell
Spin magnetization: 0.00 μB/f.u.

---

Record 2
Material: Pm2NdY
Method: DFT, PBE
State: relaxed

a b c (Å): 5.6653 6.9521 6.9521
angles (deg): 29.97 90.00 90.00
Fractional coordinates of all 4 atoms:
Pm  0.0000  0.0000  0.0000
Pm  0.5000  0.1250  0.1250
Nd  0.5000  0.3820  0.3820
Y  0.0000  0.7387  0.7387

Properties
Symmetry: Amm2, No. 38
Formation energy: 44 meV/atom
ΔE to the lowest computed polymorph: 13 kJ/mol of formula units
Uncorrected energy: -20.56 eV/cell
Spin magnetization: 0.00 μB/f.u.

---

Record 3
Material: Pm3Nd2Y4
Method: DFT, PBE
State: relaxed

a b c (Å): 8.1062 8.1062 8.0894
angles (deg): 107.46 107.46 36.82
Fractional coordinates of all 9 atoms:
Pm  0.0000  0.0000  0.0000
Pm  0.1111  0.1111  0.6662
Pm  0.8889  0.8889  0.3338
Nd  0.3336  0.3336  0.0002
Nd  0.6664  0.6664  0.9998
Y  0.2219  0.2219  0.3343
Y  0.4437  0.4437  0.6652
Y  0.5563  0.5563  0.3348
Y  0.7781  0.7781  0.6657

Properties
Symmetry: C2/m, No. 12
Formation energy: 16 meV/atom
ΔE to the lowest computed polymorph: 0 kJ/mol of formula units
Uncorrected energy: -49.50 eV/cell
Spin magnetization: 0.00 μB/f.u.

---

Record 4
Material: PmNd5Y2
Method: DFT, PBE
State: relaxed

a b c (Å): 6.9412 9.4494 9.4517
angles (deg): 85.32 71.32 71.33
Fractional coordinates of all 16 atoms:
Pm  0.2484  0.2103  0.2928
Pm  0.7516  0.7897  0.7072
Nd  0.0018  0.0813  0.6666
Nd  0.2504  0.0405  0.9594
Nd  0.2501  0.5417  0.4586
Nd  0.2511  0.7077  0.7902
Nd  0.4974  0.3334  0.9184
Nd  0.5026  0.6666  0.0816
Nd  0.7489  0.2923  0.2098
Nd  0.7499  0.4583  0.5414
Nd  0.7496  0.9595  0.0406
Nd  0.9982  0.9187  0.3334
Y  0.0021  0.4156  0.8324
Y  0.4982  0.1666  0.5842
Y  0.5018  0.8334  0.4158
Y  0.9979  0.5844  0.1676

Properties
Symmetry: P-1, No. 2
Formation energy: 25 meV/atom
ΔE to the lowest computed polymorph: 11 kJ/mol of formula units
Uncorrected energy: -82.63 eV/cell
Spin magnetization: 0.00 μB/f.u.

---

Record 5
Material: Pm4NdY5
Method: DFT, PBE
State: relaxed

a b c (Å): 8.8995 8.8995 11.1808
angles (deg): 90.08 90.08 23.16
Fractional coordinates of all 10 atoms:
Pm  0.0288  0.0288  0.2489
Pm  0.3470  0.3470  0.2501
Pm  0.6530  0.6530  0.7499
Pm  0.9712  0.9712  0.7511
Nd  0.5000  0.5000  0.5000
Y  0.1739  0.1739  0.0542
Y  0.1751  0.1751  0.4424
Y  0.5000  0.5000  0.0000
Y  0.8249  0.8249  0.5576
Y  0.8261  0.8261  0.9458

Properties
Symmetry: C2/m, No. 12
Formation energy: 189 meV/atom
ΔE to the lowest computed polymorph: 168 kJ/mol of formula units
Uncorrected energy: -54.20 eV/cell
Spin magnetization: 0.00 μB/f.u.

---

Record 6
Material: Pm11Nd4Y9
Method: DFT, PBE
State: relaxed

a b c (Å): 15.3918 15.3918 3.7334
angles (deg): 90.00 90.00 112.69
Fractional coordinates of all 24 atoms:
Pm  0.0000  0.0000  0.0000
Pm  0.0464  0.4088  0.0000
Pm  0.1584  0.8416  0.0000
Pm  0.2911  0.2911  0.0000
Pm  0.3659  0.6341  0.0000
Pm  0.4088  0.0464  0.0000
Pm  0.5912  0.9536  0.0000
Pm  0.6341  0.3659  0.0000
Pm  0.7089  0.7089  0.0000
Pm  0.8416  0.1584  0.0000
Pm  0.9536  0.5912  0.0000
Nd  0.2448  0.4463  0.5000
Nd  0.4463  0.2448  0.5000
Nd  0.5537  0.7552  0.5000
Nd  0.7552  0.5537  0.5000
Y  0.0661  0.2123  0.5000
Y  0.1623  0.6350  0.5000
Y  0.2123  0.0661  0.5000
Y  0.3650  0.8377  0.5000
Y  0.5000  0.5000  0.5000
Y  0.6350  0.1623  0.5000
Y  0.7877  0.9339  0.5000
Y  0.8377  0.3650  0.5000
Y  0.9339  0.7877  0.5000

Properties
Symmetry: Cmmm, No. 65
Formation energy: 53 meV/atom
Uncorrected energy: -128.23 eV/cell
Spin magnetization: 0.00 μB/f.u.

---

Record 7
Material: Pm4Nd2Y5
Method: DFT, PBE
State: relaxed

a b c (Å): 7.0245 7.0245 10.4643
angles (deg): 117.40 117.40 59.33
Fractional coordinates of all 11 atoms:
Pm  0.1823  0.1823  0.0033
Pm  0.2195  0.2195  0.6622
Pm  0.7805  0.7805  0.3378
Pm  0.8177  0.8177  0.9967
Nd  0.2469  0.2469  0.3488
Nd  0.7531  0.7531  0.6512
Y  0.2626  0.7342  0.6735
Y  0.2658  0.7374  0.3265
Y  0.5000  0.5000  0.0000
Y  0.7342  0.2626  0.6735
Y  0.7374  0.2658  0.3265

Properties
Symmetry: C2/m, No. 12
Formation energy: 156 meV/atom
ΔE to the lowest computed polymorph: 61 kJ/mol of formula units
Uncorrected energy: -59.14 eV/cell
Spin magnetization: 0.00 μB/f.u.

---

Record 8
Material: Pm7Nd3Y
Method: DFT, PBE
State: relaxed

a b c (Å): 8.6092 8.6092 8.6092
angles (deg): 139.37 97.22 96.63
Fractional coordinates of all 11 atoms:
Pm  0.0000  0.0000  0.0000
Pm  0.0972  0.3001  0.7971
Pm  0.2924  0.7924  0.5000
Pm  0.4970  0.6999  0.7971
Pm  0.5030  0.3001  0.2029
Pm  0.7076  0.2076  0.5000
Pm  0.9028  0.6999  0.2029
Nd  0.2900  0.0000  0.2900
Nd  0.5000  0.5000  0.0000
Nd  0.7100  0.0000  0.7100
Y  0.0000  0.5000  0.5000

Properties
Symmetry: Immm, No. 71
Formation energy: 232 meV/atom
ΔE to the lowest computed polymorph: 8 kJ/mol of formula units
Uncorrected energy: -51.47 eV/cell
Spin magnetization: 0.13 μB/f.u.